Record 1
# SCAN SiGeN2O, single point on PBEsol structure
# uncorrected energy: -120.415 eV for the cell shown
# D(E_F): 0.0 states/eV per cell
# spin magnetization: 0.0 μB per cell
data_SiGeN2O
_chemical_formula_sum 'Si2 Ge2 N4 O2'
_cell_length_a 5.3720
_cell_length_b 4.9842
_cell_length_c 5.3898
_cell_angle_alpha 90.00
_cell_angle_beta 116.75
_cell_angle_gamma 90.00
_symmetry_space_group_name_H-M 'P 1 21 1'
_symmetry_Int_Tables_number 4
_symmetry_space_group_name_Hall 'P 2yb'
loop_
_atom_site_label
_atom_site_fract_x
_atom_site_fract_y
_atom_site_fract_z
Si1 0.1673 0.0000 0.0220
Ge1 0.4765 0.5016 0.3233
N1 0.1509 0.3392 0.0800
N2 0.4075 0.8582 0.3304
O1 0.2630 0.9315 0.7809

Record 2
# SCAN SnGeNO2, single point on PBEsol structure
# uncorrected energy: -79.264 eV for the cell shown
# D(E_F): 0.7 states/eV per cell
# spin magnetization: 0.0 μB per cell
data_SnGeNO2
_chemical_formula_sum 'Sn1 Ge1 N1 O2'
_cell_length_a 3.6718
_cell_length_b 3.6718
_cell_length_c 4.0533
_cell_angle_alpha 90.00
_cell_angle_beta 90.00
_cell_angle_gamma 90.00
_symmetry_space_group_name_H-M 'P 4/m m m'
_symmetry_Int_Tables_number 123
_symmetry_space_group_name_Hall '-P 4 2'
loop_
_atom_site_label
_atom_site_fract_x
_atom_site_fract_y
_atom_site_fract_z
Sn1 0.0000 0.0000 0.0000
Ge1 0.5000 0.5000 0.5000
N1 0.5000 0.5000 0.0000
O1 0.0000 0.5000 0.5000